Ti2AlIr | SCAN | PBEsol geometry

abc: 7.2312 7.2312 5.1640
angles: 90.00 90.00 90.00
Space group I-42d (No. 122)
Inequivalent atoms, fractional coordinates:
Ti 0.2078 0.2500 0.1250 (multiplicity 8)
Al 0.0000 0.0000 0.5000 (multiplicity 4)
Ir 0.0000 0.0000 0.0000 (multiplicity 4)

Calculated values
Formation energy (eV per atom): -0.28



SbPtSe2 | SCAN | PBEsol geometry

abc: 5.4966 5.4966 5.4125
angles: 90.00 90.00 90.00
Space group I4/mmm (No. 139)
Inequivalent atoms, fractional coordinates:
Sb 0.0000 0.0000 0.0000 (multiplicity 2)
Pt 0.0000 0.0000 0.5000 (multiplicity 2)
Se 0.0000 0.5000 0.0000 (multiplicity 4)

Calculated values
Uncorrected energy (eV per atom): -36.96



CsTeF3 | SCAN | PBEsol geometry

abc: 4.7351 4.7351 4.7351
angles: 90.00 90.00 90.00
Space group Pm-3m (No. 221)
Inequivalent atoms, fractional coordinates:
Cs 0.0000 0.0000 0.0000 (multiplicity 1)
Te 0.5000 0.5000 0.5000 (multiplicity 1)
F 0.0000 0.5000 0.5000 (multiplicity 3)

Calculated values
Uncorrected energy (eV per atom): -18.99



Be2RuW | SCAN | PBEsol geometry

abc: 3.0244 3.7852 4.1440
angles: 90.00 90.00 90.00
Space group Pmmm (No. 47)
Inequivalent atoms, fractional coordinates:
Be 0.0000 0.0000 0.0000 (multiplicity 1)
Be 0.5000 0.0000 0.5000 (multiplicity 1)
Ru 0.0000 0.5000 0.5000 (multiplicity 1)
W 0.5000 0.5000 0.0000 (multiplicity 1)

Calculated values
Formation energy (eV per atom): 0.07



NiP3 | SCAN | PBEsol geometry

abc: 4.9460 6.5305 3.1663
angles: 90.00 90.00 90.00
Space group Cmmm (No. 65)
Inequivalent atoms, fractional coordinates:
Ni 0.0000 0.0000 0.0000 (multiplicity 2)
P 0.0000 0.5000 0.0000 (multiplicity 2)
P 0.2500 0.2500 0.5000 (multiplicity 4)

Calculated values
Formation energy (eV per atom): 0.57



KBaSi | SCAN | PBEsol geometry

abc: 3.9940 3.9940 15.2344
angles: 90.00 90.00 90.00
Space group I4mm (No. 107)
Inequivalent atoms, fractional coordinates:
K 0.0000 0.0000 0.0000 (multiplicity 2)
Ba 0.0000 0.0000 0.2421 (multiplicity 2)
Si 0.0000 0.0000 0.6299 (multiplicity 2)

Calculated values
Uncorrected energy (eV per atom): -19.19



no.,N(E_F) (states/eV per atom),volume (Å³/cell)
1,0.964,270
2,0.303,164
3,0.371,106
4,0.374,47
5,0.478,102
6,0.617,243